The following is a GGA-PBE calculation of a relaxed structure of ZnBRuAu2, from the Alexandria database.

```
ZnBRuAu2
1.0
5.040 0.000 0.000
0.000 5.040 0.000
0.000 0.000 4.798
Zn B Ru Au
1 1 1 2
Direct
0.000 0.000 0.000
0.500 0.500 0.000
0.000 0.000 0.500
0.000 0.500 0.500
0.500 0.000 0.500
```

Values from the calculation:
symmetry: P4/mmm, No. 123
density of states at the Fermi level: 3.6 states/eV per cell
DFT formation energy: 1.76 eV/atom
crystal system: tetragonal

The following is a GGA-PBE calculation of a relaxed structure of B3AuS, from the Alexandria database.

```
B3AuS
1.0
3.868 0.000 0.000
0.000 3.868 0.000
0.000 0.000 3.868
B Au S
3 1 1
Direct
0.000 0.000 0.500
0.000 0.500 0.000
0.500 0.000 0.000
0.500 0.500 0.500
0.000 0.000 0.000
```

Values from the calculation:
symmetry: Pm-3m, No. 221
density of states at the Fermi level: 1.8 states/eV per cell
crystal system: cubic
formation energy (no corrections): 1.621 eV/atom

The following is a GGA-PBE calculation of a relaxed structure of B2AuS4, from the Alexandria database.

```
B2AuS4
1.0
7.167 0.000 0.000
0.096 7.741 0.000
0.536 0.114 7.737
B Au S
4 2 8
Direct
0.000 0.000 0.000
0.000 0.000 0.500
0.000 0.500 0.000
0.500 0.500 0.500
0.216 0.261 0.728
0.784 0.739 0.272
0.204 0.102 0.454
0.215 0.984 0.899
0.223 0.429 0.998
0.271 0.532 0.555
0.729 0.468 0.445
0.777 0.571 0.002
0.785 0.016 0.101
0.796 0.898 0.546
```

Values from the calculation:
symmetry: P-1, No. 2
density of states at the Fermi level: 2.5 states/eV per cell
crystal system: triclinic
formation energy (no corrections): -0.022 eV/atom

The following is a GGA-PBE calculation of a relaxed structure of BAuS3, from the Alexandria database.

```
BAuS3
1.0
4.221 0.000 0.000
0.000 4.221 0.000
0.000 0.000 4.221
B Au S
1 1 3
Direct
0.000 0.000 0.000
0.500 0.500 0.500
0.000 0.000 0.500
0.000 0.500 0.000
0.500 0.000 0.000
```

Values from the calculation:
symmetry: Pm-3m, No. 221
density of states at the Fermi level: 4.2 states/eV per cell
crystal system: cubic
formation energy (no corrections): 0.900 eV/atom

> Number 4 is which compound?

BAuS3